LaPN2F at its PBEsol-relaxed geometry, computed with SCAN.

abc: 3.7375 3.7375 4.0788
angles: 90.00 90.00 90.00
Positions (direct):
N  0.0000  0.5000  0.0000
N  0.5000  0.0000  0.0000
La  0.5000  0.5000  0.5000
P  0.0000  0.0000  0.0000
F  0.0000  0.0000  0.5000

Properties
**VASP energy**: -16.202 eV per atom
**D(E_F)**: 0.993 states/eV/cell
**Formation energy from raw total energies**: -1.077 eV/atom
**SG**: P4/mmm